1.
DFT (PBE-GGA) results for a relaxed Pm6Pr2Ru crystal.

Cell lengths 3.8224, 8.9070, 8.9659 Å; angles 87.05, 90.02, 89.98 degrees
Last column: nearest neighbours and their distance in Å.
Fractional coordinates of all 9 atoms:
Pm 0.0002 0.4473 0.2118  4 Pr 3.63-3.81, 8 Pm 3.67-3.87
Pm 0.0009 0.9635 0.7002  1 Ru 2.72
Pm 0.9998 0.5527 0.7882  4 Pr 3.63-3.81, 8 Pm 3.67-3.87
Pm 0.4999 0.2250 0.9521  2 Ru 2.79
Pm 0.9991 0.0365 0.2998  1 Ru 2.72
Pm 0.5001 0.7750 0.0479  2 Ru 2.79
Pr 0.4997 0.6995 0.4684  3 Pr 3.57-3.82, 9 Pm 3.63-3.81
Pr 0.5003 0.3005 0.5316  3 Pr 3.57-3.82, 9 Pm 3.63-3.81
Ru 0.0000 0.0000 0.0000  6 Pm 2.72-2.79

Values from the calculation:
calculated volume = 305 Å³/f.u.
DFT total energy = -5.284 eV/atom
space-group type = P2/m (10)

***

2.
DFT (PBE-GGA) results for a relaxed ZrCdH3 crystal.

Cell lengths 3.8853, 3.8853, 3.8853 Å; angles 90.00, 90.00, 90.00 degrees
Last column: nearest neighbours and their distance in Å.
Fractional coordinates of all 5 atoms:
H 0.0000 0.5000 0.0000  2 Zr 1.94
H 0.0000 0.0000 0.5000  2 Zr 1.94
H 0.5000 0.0000 0.0000  2 Zr 1.94
Zr 0.0000 0.0000 0.0000  6 H 1.94
Cd 0.5000 0.5000 0.5000  12 H 2.75

Values from the calculation:
calculated volume = 59 Å³/f.u.
excess energy over the best structure of this formula in the dataset = 0 kJ/mol of formula units
DFT total energy = -3.933 eV/atom
space-group type = Pm-3m (221)

***

Which formula does entry 2 have?
ZrCdH3

***

Which formula does entry 1 have?
Pm6Pr2Ru